1.
PBE Pu2CdIr, optimized geometry; density of states at the Fermi level = 10.895 states/eV/f.u.; SG = R-3m; excess energy over the best structure of this formula in the dataset = 462.2 meV per atom; mass density = 15.362 g cm⁻³
1.0
2.922 0.000 0.000
1.461 2.531 0.000
1.461 0.844 11.587
Pu Cd Ir
2 1 1
Cartesian
1.461 0.844 8.272
4.383 2.531 3.315
0.000 0.000 0.000
2.922 1.687 5.794

2.
PBE CuSnMo2Cl, optimized geometry; density of states at the Fermi level = 4.637 states/eV/f.u.; formation energy without anion corrections = 1.4322 eV per atom; SG = P4/mmm; mass density = 5.683 g cm⁻³
1.0
5.012 0.000 0.000
0.000 4.764 0.000
0.000 0.000 5.012
Cl Sn Mo Cu
1 1 2 1
Cartesian
2.506 2.382 2.506
0.000 2.382 0.000
0.000 0.000 2.506
2.506 0.000 0.000
0.000 0.000 0.000

3.
PBE CdTcAg2, optimized geometry; density of states at the Fermi level = 3.161 states/eV/f.u.; SG = I-42d; E = -3.476 eV per atom; mass density = 9.007 g cm⁻³
1.0
3.969 0.000 0.000
0.000 3.969 0.000
1.984 1.984 9.976
Cd Ag Tc
2 4 2
Cartesian
0.000 0.000 0.000
3.969 1.984 4.988
2.977 2.983 7.482
4.961 4.954 7.482
2.970 0.992 2.494
0.999 2.977 2.494
1.984 3.969 4.988
1.984 1.984 0.000

4.
PBE Ho2Tm3Pu, optimized geometry; density of states at the Fermi level = 9.585 states/eV/f.u.; SG = Imma; excess energy over the best structure of this formula in the dataset = 61.7 meV per atom; mass density = 9.948 g cm⁻³
1.0
-1.221 -4.720 7.964
8.349 2.340 8.141
2.647 3.027 7.674
Tm Ho Pu
6 4 2
Cartesian
6.172 -0.394 12.927
3.788 -0.166 6.863
0.287 -2.652 10.327
3.603 1.041 10.852
5.987 0.813 16.916
9.488 3.299 13.452
3.084 -2.059 12.628
0.652 -2.070 6.774
6.691 2.706 11.151
9.123 2.717 17.004
0.000 0.000 0.000
5.498 2.683 7.907

5.
PBE CeEr2Ru, optimized geometry; density of states at the Fermi level = 7.120 states/eV/f.u.; SG = P4/mmm; excess energy over the best structure of this formula in the dataset = 129.1 meV per atom; mass density = 9.323 g cm⁻³
1.0
-1.922 1.906 -2.036
-2.785 -1.176 1.528
0.404 6.705 5.898
Ce Er Ru
1 2 1
Cartesian
-2.151 3.718 2.695
0.074 1.223 1.075
0.331 5.482 4.823
-2.353 0.365 -0.254

6.
PBE Cs2LiSiCl6, optimized geometry; density of states at the Fermi level = 4.284 states/eV/f.u.; formation energy without anion corrections = -1.4578 eV per atom; SG = I4/mmm; mass density = 3.145 g cm⁻³
1.0
-4.710 -3.473 4.297
-3.319 -2.736 -5.849
-0.885 -7.185 -0.643
Cl Li Si Cs
6 1 1 2
Cartesian
-4.382 -3.299 1.903
-3.647 -2.910 -3.455
-6.556 -8.128 -1.490
-6.135 -4.744 -1.186
-1.894 -1.465 -0.366
-2.357 -5.265 -0.706
-4.014 -3.104 -0.776
0.000 0.000 0.000
-4.109 -6.512 -3.634
-4.805 -6.881 1.439

7.
PBE Ti2Sn2Ge, optimized geometry; density of states at the Fermi level = 3.088 states/eV/f.u.; SG = P4/mbm; excess energy over the best structure of this formula in the dataset = 0.0 meV per atom; mass density = 6.756 g cm⁻³
1.0
6.836 0.000 0.000
0.000 6.836 0.000
0.000 0.000 4.268
Ge Ti Sn
2 4 4
Cartesian
3.418 3.418 0.000
0.000 0.000 0.000
2.352 5.770 0.000
5.770 4.484 0.000
4.484 1.066 0.000
1.066 2.352 0.000
1.063 4.482 2.134
5.773 2.355 2.134
4.482 5.773 2.134
2.355 1.063 2.134

8.
PBE Rb4TiBr6, optimized geometry; density of states at the Fermi level = 10.567 states/eV/f.u.; formation energy without anion corrections = -1.5207 eV per atom; SG = P4/mnc; mass density = 3.366 g cm⁻³
1.0
-3.098 2.744 -8.411
-2.374 -8.843 -2.011
-8.873 1.525 3.765
Rb Br Ti
8 12 2
Cartesian
-4.364 -5.109 -1.890
-10.704 -4.297 -4.514
-9.981 0.535 -4.767
-3.640 -0.277 -2.143
-6.268 -5.059 -6.397
-8.077 0.486 -0.260
-5.544 -0.227 -6.649
-8.800 -4.346 -0.008
-6.856 1.977 -4.310
-6.887 1.184 2.922
-2.324 -0.304 -5.354
-3.147 -5.795 -5.069
-3.817 -3.020 -7.772
-5.374 -1.517 0.597
-1.654 -3.078 -2.651
-5.186 -2.628 -4.172
-8.971 -3.057 -7.254
-9.159 -1.945 -2.486
-7.489 -6.550 -2.348
-1.986 0.341 0.843
-2.736 -3.049 -5.211
-4.437 0.763 1.883